# LiYCd

A relaxed structure of LiYCd (PBE, the Alexandria database).

a = 6.908 Å, b = 5.492 Å, c = 3.390 Å
α = 90.01°, β = 90.01°, γ = 37.42°
Last column: magnetic moment on the atom in μB.
Atoms (fractional coordinates):
Y1 0.000 0.500 0.000  0.16
Li1 0.500 0.500 0.000  0.00
Cd1 0.000 0.000 0.500  0.00

total energy = -3.060 eV per atom
SG = P2/m, No. 10
E above lowest polymorph = 225 meV per atom
formation energy from the elements = 0.04 eV/atom

***

# Ti3Si

A relaxed structure of Ti3Si (PBE, the Alexandria database).

a = 10.146 Å, b = 10.146 Å, c = 5.061 Å
α = 90.00°, β = 90.00°, γ = 90.00°
Atoms (fractional coordinates):
Ti1 0.717 0.182 0.504
Ti2 0.217 0.682 0.996
Ti3 0.859 0.972 0.782
Ti4 0.972 0.141 0.218
Ti5 0.919 0.607 0.969
Ti6 0.141 0.028 0.782
Ti7 0.107 0.581 0.469
Ti8 0.182 0.283 0.496
Ti9 0.393 0.919 0.031
Ti10 0.641 0.528 0.718
Ti11 0.419 0.107 0.531
Ti12 0.528 0.359 0.282
Ti13 0.359 0.472 0.718
Ti14 0.682 0.783 0.004
Ti15 0.581 0.893 0.531
Ti16 0.283 0.818 0.504
Ti17 0.783 0.318 0.996
Ti18 0.472 0.641 0.282
Ti19 0.607 0.081 0.031
Ti20 0.028 0.859 0.218
Ti21 0.893 0.419 0.469
Ti22 0.818 0.717 0.496
Ti23 0.318 0.217 0.004
Ti24 0.081 0.393 0.969
Si1 0.205 0.042 0.288
Si2 0.042 0.795 0.712
Si3 0.295 0.458 0.212
Si4 0.958 0.205 0.712
Si5 0.458 0.705 0.788
Si6 0.705 0.542 0.212
Si7 0.795 0.958 0.288
Si8 0.542 0.295 0.788

ΔE_f (raw) = -1.98 eV/f.u.
total energy = -7.773 eV per atom
SG = P4_2/n, No. 86